Record 1
A plane-wave DFT calculation with PBE was carried out for a relaxed structure of TiCuPd2.

Properties
**Space-group type**: I-42d
**Mass density**: 8.4 g cm⁻³
**V**: 128.26 Å³ per cell
**Total energy**: -45.3 eV for the cell shown
**M_tot**: 0.00 Bohr magnetons per cell

a b c (Å): 6.850 6.850 5.562
angles (deg): 51.99 51.99 90.00
Element x y z (fractional)
Cu1 0.000 0.000 0.000
Cu2 0.750 0.250 0.500
Pd1 0.619 0.125 0.250
Pd2 0.131 0.625 0.250
Pd3 0.375 0.381 0.750
Pd4 0.875 0.869 0.750
Ti1 0.500 0.500 0.000
Ti2 0.250 0.750 0.500

---

Record 2
A plane-wave DFT calculation with PBE was carried out for a relaxed structure of MgUGaPt.

Properties
**Space-group type**: F-43m
**Mass density**: 11.1 g cm⁻³
**V**: 78.85 Å³ per cell
**Total energy**: -23.5 eV for the cell shown
**M_tot**: 2.26 Bohr magnetons per cell

a b c (Å): 4.813 4.813 4.813
angles (deg): 60.00 60.00 60.00
Element x y z (fractional)
Mg1 0.000 0.000 0.000
U1 0.500 0.500 0.500
Ga1 0.250 0.250 0.250
Pt1 0.750 0.750 0.750

---

Record 3
A plane-wave DFT calculation with PBE was carried out for a relaxed structure of TcP3Br.

Properties
**ΔE to the lowest computed polymorph**: 0.0 meV per atom
**Space-group type**: Pm-3m
**Formation energy (no corrections)**: 44 kJ/mol of atoms
**Mass density**: 4.5 g cm⁻³
**V**: 100.37 Å³ per cell
**Total energy**: -26.0 eV for the cell shown
**M_tot**: 0.00 Bohr magnetons per cell

a b c (Å): 4.647 4.647 4.647
angles (deg): 90.00 90.00 90.00
Element x y z (fractional)
P1 0.000 0.500 0.000
P2 0.000 0.000 0.500
P3 0.500 0.000 0.000
Tc1 0.000 0.000 0.000
Br1 0.500 0.500 0.500